1.
Material: Ca3Np3TcN8
Method: DFT, PBE-GGA
State: relaxed

Fermi-level density of states: 13.91 states/eV per cell
uncorrected formation energy: -0.91 eV/atom
VASP energy: -9.03 eV/atom
symmetry: No. 166

Cell lengths 6.848, 6.848, 6.848 Å; angles 58.73, 58.73, 58.73 degrees
Fractional positions:
Ca 0.000 0.500 0.500
Ca 0.500 0.000 0.500
Ca 0.500 0.500 0.000
Np 0.000 0.000 0.500
Np 0.000 0.500 0.000
Np 0.500 0.000 0.000
Tc 0.500 0.500 0.500
N 0.242 0.242 0.242
N 0.243 0.726 0.726
N 0.274 0.274 0.757
N 0.274 0.757 0.274
N 0.726 0.243 0.726
N 0.726 0.726 0.243
N 0.757 0.274 0.274
N 0.758 0.758 0.758

***

2.
Material: MnP4
Method: DFT, PBE-GGA
State: relaxed

Fermi-level density of states: 1.54 states/eV per cell
ΔE_f: -9.3 kJ/mol of atoms
VASP energy: -6.26 eV/atom
symmetry: No. 12

Cell lengths 4.015, 4.015, 4.686 Å; angles 91.90, 91.90, 79.36 degrees
Fractional positions:
Mn 0.000 0.000 0.000
P 0.077 0.495 0.737
P 0.495 0.077 0.737
P 0.505 0.923 0.263
P 0.923 0.505 0.263

***

3.
Material: Ca2MgPb2
Method: DFT, PBE-GGA
State: relaxed

Fermi-level density of states: 4.26 states/eV per cell
ΔE_f: 1.1 kJ/mol of atoms
VASP energy: -2.59 eV/atom
symmetry: No. 139

Cell lengths 7.600, 7.600, 7.600 Å; angles 140.46, 140.46, 57.16 degrees
Fractional positions:
Ca 0.250 0.750 0.500
Ca 0.750 0.250 0.500
Mg 0.000 0.000 0.000
Pb 0.393 0.393 0.000
Pb 0.607 0.607 0.000

***

4.
Material: Cu8Ni2Pt
Method: DFT, PBE-GGA
State: relaxed

Fermi-level density of states: 6.74 states/eV per cell
ΔE_f: 9.3 kJ/mol of atoms
VASP energy: -4.48 eV/atom
symmetry: No. 12

Cell lengths 7.059, 7.059, 4.421 Å; angles 93.93, 93.93, 38.87 degrees
Fractional positions:
Cu 0.154 0.662 0.973
Cu 0.195 0.195 0.589
Cu 0.338 0.846 0.027
Cu 0.401 0.401 0.482
Cu 0.599 0.599 0.518
Cu 0.662 0.154 0.973
Cu 0.805 0.805 0.411
Cu 0.846 0.338 0.027
Ni 0.259 0.259 0.105
Ni 0.741 0.741 0.895
Pt 0.000 0.000 0.500

***

5.
Material: La2TmThS4
Method: DFT, PBE-GGA
State: relaxed

Fermi-level density of states: 3.73 states/eV per cell
uncorrected formation energy: -2.02 eV/atom
VASP energy: -6.80 eV/atom
symmetry: No. 10

Cell lengths 7.025, 4.017, 7.047 Å; angles 90.00, 109.06, 90.00 degrees
Fractional positions:
La 0.000 0.000 0.000
La 0.000 0.500 0.500
Tm 0.500 0.000 0.500
Th 0.500 0.500 0.000
S 0.264 0.000 0.744
S 0.271 0.500 0.266
S 0.729 0.500 0.734
S 0.736 0.000 0.256

***

6.
Material: BaTlPO2
Method: DFT, PBE-GGA
State: relaxed

offset from the most stable computed form: 439 meV/atom
Fermi-level density of states: 3.11 states/eV per cell
uncorrected formation energy: -0.03 eV/atom
VASP energy: -3.96 eV/atom
symmetry: No. 123

Cell lengths 4.484, 4.484, 6.763 Å; angles 90.00, 90.00, 90.00 degrees
Fractional positions:
Ba 0.000 0.000 0.000
Tl 0.500 0.500 0.500
P 0.000 0.000 0.500
O 0.000 0.500 0.000
O 0.500 0.000 0.000

***

7.
Material: SrFeMo2
Method: DFT, PBE-GGA
State: relaxed

offset from the most stable computed form: 120 meV/atom
Fermi-level density of states: 4.23 states/eV per cell
ΔE_f: 70.4 kJ/mol of atoms
VASP energy: -7.22 eV/atom
symmetry: No. 8

Cell lengths 4.856, 4.856, 6.102 Å; angles 104.88, 104.88, 39.30 degrees
Fractional positions:
Sr 0.000 0.000 0.000
Fe 0.226 0.226 0.637
Mo 0.513 0.513 0.519
Mo 0.800 0.800 0.388

***

8.
Material: Ho7Tm3In2
Method: DFT, PBE-GGA
State: relaxed

Fermi-level density of states: 11.17 states/eV per cell
ΔE_f: -4.2 kJ/mol of atoms
VASP energy: -4.29 eV/atom
symmetry: No. 10

Cell lengths 5.536, 3.557, 18.284 Å; angles 90.00, 93.88, 90.00 degrees
Fractional positions:
Ho 0.000 0.000 0.000
Ho 0.167 0.500 0.174
Ho 0.259 0.500 0.541
Ho 0.337 0.000 0.853
Ho 0.663 0.000 0.147
Ho 0.741 0.500 0.459
Ho 0.833 0.500 0.826
Tm 0.221 0.000 0.367
Tm 0.500 0.500 0.000
Tm 0.779 0.000 0.633
In 0.300 0.500 0.708
In 0.700 0.500 0.292

***

Number 1: calculated volume 14.699 A^3/atom. Number 2: calculated volume 14.838 A^3/atom. Number 3: calculated volume 35.277 A^3/atom. Number 4: calculated volume 12.536 A^3/atom. Number 5: calculated volume 23.496 A^3/atom. Number 6: calculated volume 27.202 A^3/atom. Number 7: calculated volume 21.922 A^3/atom. Number 8: calculated volume 29.933 A^3/atom.